1.
# Cs2InReF6

A relaxed structure of Cs2InReF6 (PBE-GGA, Alexandria via LeMat-Bulk).

The calculation puts the uncorrected formation energy at -2085 meV/atom. For the volume, the calculation gives 422 Å³/cell.

The space group is I4/mmm (No. 139) and the conventional cell measures 6.6994, 6.6994 and 9.4101 Å, with angles of 90.00, 90.00 and 90.00 degrees. The asymmetric unit holds Cs at (0.0000, 0.5000, 0.2500), In at (0.0000, 0.0000, 0.0000), Re at (0.0000, 0.0000, 0.5000), F at (0.0000, 0.0000, 0.2846) and F at (0.2214, 0.2214, 0.5000).

***

2.
# NaNpTcO6

A relaxed structure of NaNpTcO6 (PBE-GGA, Alexandria via LeMat-Bulk).

The calculation puts the uncorrected formation energy at -2049 meV/atom. For the volume, the calculation gives 261 Å³/cell.

The space group is P-31c (No. 163) and the conventional cell measures 5.4436, 5.4436 and 10.1888 Å, with angles of 90.00, 90.00 and 120.00 degrees. The asymmetric unit holds Na at (0.0000, 0.0000, 0.0000), Np at (0.3333, 0.6667, 0.2500), Tc at (0.3333, 0.6667, 0.7500) and O at (0.0144, 0.3746, 0.6462).

***

3.
# Li2ScTiCd

A relaxed structure of Li2ScTiCd (PBE-GGA, Alexandria via LeMat-Bulk).

The formation energy comes out at 0.93 eV/atom. For the volume, the calculation gives 114 Å³/cell.

The space group is P4/mmm (No. 123) and the conventional cell measures 4.9592, 4.9592 and 4.6347 Å, with angles of 90.00, 90.00 and 90.00 degrees. The asymmetric unit holds Li at (0.0000, 0.5000, 0.0000), Sc at (0.0000, 0.0000, 0.0000), Ti at (0.0000, 0.0000, 0.5000) and Cd at (0.5000, 0.5000, 0.5000).

***

4.
# PmIO6

A relaxed structure of PmIO6 (PBE-GGA, Alexandria via LeMat-Bulk).

The calculation puts the uncorrected formation energy at -987 meV/atom. The distance to the lowest polymorph of the same formula is 0 meV/atom. For the volume, the calculation gives 440 Å³/cell.

The space group is R-3m (No. 166, hexagonal axes) and the conventional cell measures 5.9160, 5.9160 and 14.5295 Å, with angles of 90.00, 90.00 and 120.00 degrees. The asymmetric unit holds Pm at (0.0000, 0.0000, 0.0000), I at (0.0000, 0.0000, 0.5000) and O at (0.0359, 0.5180, 0.2409).